Compound: CuPSe2
Source: Alexandria
Functional: PBE-GGA
Structure: relaxed

POSCAR file:
```
CuPSe2
1.0
-5.224 -5.486 -2.200
-2.148 -6.989 -2.961
-3.397 -7.113 0.314
Se P Cu
2 1 1
Direct
0.029 0.029 0.029
0.215 0.215 0.215
0.763 0.763 0.763
0.493 0.493 0.493
```

Compound: CuP2Se
Source: Alexandria
Functional: PBE-GGA
Structure: relaxed

POSCAR file:
```
CuP2Se
1.0
-4.540 1.650 -2.553
1.963 -1.914 -4.726
-3.647 -5.052 -2.626
Se Cu P
2 2 4
Direct
0.000 0.000 0.000
0.750 0.250 0.500
0.250 0.750 0.500
0.500 0.500 0.000
0.171 0.625 0.250
0.579 0.125 0.250
0.875 0.829 0.750
0.375 0.421 0.750
```

Compound: CuPSe2
Source: Alexandria
Functional: PBE-GGA
Structure: relaxed

POSCAR file:
```
CuPSe2
1.0
-0.645 -3.687 2.316
2.368 3.645 0.693
-5.447 2.938 3.160
Cu Se P
1 2 1
Direct
0.500 0.500 0.250
0.000 0.000 0.000
0.000 0.000 0.500
0.500 0.500 0.750
```

Compound: CuPSe2
Source: Alexandria
Functional: PBE-GGA
Structure: relaxed

POSCAR file:
```
CuPSe2
1.0
-2.820 -1.254 -2.168
3.560 -4.689 -1.919
-5.053 -8.550 11.516
Se P Cu
8 4 4
Direct
0.250 0.346 0.910
0.750 0.654 0.090
0.250 0.680 0.324
0.750 0.154 0.410
0.250 0.180 0.176
0.750 0.820 0.824
0.750 0.320 0.676
0.250 0.846 0.590
0.750 0.288 0.081
0.250 0.712 0.919
0.250 0.212 0.581
0.750 0.788 0.419
0.750 0.207 0.829
0.250 0.293 0.329
0.250 0.793 0.171
0.750 0.707 0.671
```

Compound: CuPSe2
Source: Alexandria
Functional: PBE-GGA
Structure: relaxed

POSCAR file:
```
CuPSe2
1.0
-2.509 -1.402 2.433
3.769 0.789 4.340
-1.055 3.671 1.028
P Se Cu
1 2 1
Direct
0.500 0.921 0.389
0.000 0.835 0.786
0.500 0.313 0.342
0.000 0.431 0.984
```

Compound: CuP2Se
Source: Alexandria
Functional: PBE-GGA
Structure: relaxed

POSCAR file:
```
CuP2Se
1.0
-2.462 -0.099 -6.380
-4.938 -3.028 -3.637
2.401 3.498 5.365
Se P Cu
1 2 1
Direct
0.576 0.576 0.000
0.796 0.296 0.500
0.914 0.914 0.000
0.213 0.713 0.500
```

no.,raw formation energy (eV per atom),density of states at the Fermi level (states/eV/atom)
1,0.12,0.175
2,0.31,0.764
3,0.30,0.516
4,-0.02,0.274
5,0.01,0.092
6,0.27,0.538